[1]
VASP calculation (PBE) on crystalline Tl7In at its relaxed geometry.

Values from the calculation:
- calculated formation energy (eV/atom) = 0.01
- energy relative to the lowest polymorph listed for this composition (kJ/mol of atoms) = 0.0
- magnetic moment (Bohr magnetons per cell) = 0.00
- V (Å³/atom) = 30.533
- symmetry = I4/mmm

Unit cell a=8.987 b=8.987 c=8.987 alpha=144.43 beta=144.43 gamma=51.19
Sites, in units of the cell vectors:
Tl  0.000  0.000  0.000
Tl  0.120  0.620  0.500
Tl  0.250  0.250  0.000
Tl  0.380  0.880  0.500
Tl  0.620  0.120  0.500
Tl  0.750  0.750  0.000
Tl  0.880  0.380  0.500
In  0.500  0.500  0.000


[2]
VASP calculation (PBE) on crystalline TlIn at its relaxed geometry.

Values from the calculation:
- calculated formation energy (eV/atom) = 0.02
- magnetic moment (Bohr magnetons per cell) = 0.00
- V (Å³/atom) = 29.266
- symmetry = Pnma

Unit cell a=5.832 b=5.530 c=7.260 alpha=90.00 beta=90.00 gamma=90.00
Sites, in units of the cell vectors:
Tl  0.065  0.250  0.125
Tl  0.435  0.750  0.625
Tl  0.565  0.250  0.375
Tl  0.935  0.750  0.875
In  0.056  0.250  0.626
In  0.444  0.750  0.126
In  0.556  0.250  0.874
In  0.944  0.750  0.374


[3]
VASP calculation (PBE) on crystalline Tl2In at its relaxed geometry.

Values from the calculation:
- calculated formation energy (eV/atom) = 0.14
- magnetic moment (Bohr magnetons per cell) = 0.00
- V (Å³/atom) = 35.666
- symmetry = P4/mmm

Unit cell a=5.570 b=5.570 c=3.448 alpha=90.00 beta=90.00 gamma=90.00
Sites, in units of the cell vectors:
Tl  0.000  0.500  0.000
Tl  0.500  0.000  0.000
In  0.000  0.000  0.500


[4]
VASP calculation (PBE) on crystalline Tl2In at its relaxed geometry.

Values from the calculation:
- calculated formation energy (eV/atom) = 0.01
- magnetic moment (Bohr magnetons per cell) = 0.00
- V (Å³/atom) = 29.691
- symmetry = P-62m

Unit cell a=9.469 b=9.469 c=3.441 alpha=90.00 beta=90.00 gamma=120.00
Sites, in units of the cell vectors:
Tl  0.000  0.307  0.000
Tl  0.000  0.643  0.500
Tl  0.307  0.000  0.000
Tl  0.357  0.357  0.500
Tl  0.643  0.000  0.500
Tl  0.693  0.693  0.000
In  0.000  0.000  0.500
In  0.333  0.667  0.000
In  0.667  0.333  0.000


[5]
VASP calculation (PBE) on crystalline Tl5In at its relaxed geometry.

Values from the calculation:
- calculated formation energy (eV/atom) = 0.01
- energy relative to the lowest polymorph listed for this composition (kJ/mol of atoms) = 0.6
- magnetic moment (Bohr magnetons per cell) = 0.00
- V (Å³/atom) = 30.286
- symmetry = Cmmm

Unit cell a=8.894 b=8.894 c=3.818 alpha=90.00 beta=90.00 gamma=143.01
Sites, in units of the cell vectors:
Tl  0.000  0.000  0.000
Tl  0.169  0.831  0.500
Tl  0.338  0.662  0.000
Tl  0.662  0.338  0.000
Tl  0.831  0.169  0.500
In  0.500  0.500  0.500


[6]
VASP calculation (PBE) on crystalline Tl4In5 at its relaxed geometry.

Values from the calculation:
- calculated formation energy (eV/atom) = 0.05
- energy relative to the lowest polymorph listed for this composition (kJ/mol of atoms) = 2.1
- magnetic moment (Bohr magnetons per cell) = 0.00
- V (Å³/atom) = 29.296
- symmetry = P6_3/mcm

Unit cell a=9.626 b=9.626 c=6.572 alpha=90.00 beta=90.00 gamma=120.00
Sites, in units of the cell vectors:
Tl  0.000  0.000  0.000
Tl  0.000  0.000  0.500
Tl  0.000  0.326  0.250
Tl  0.000  0.674  0.750
Tl  0.326  0.000  0.250
Tl  0.326  0.326  0.750
Tl  0.674  0.000  0.750
Tl  0.674  0.674  0.250
In  0.000  0.346  0.750
In  0.000  0.654  0.250
In  0.333  0.667  0.000
In  0.333  0.667  0.500
In  0.346  0.000  0.750
In  0.346  0.346  0.250
In  0.654  0.000  0.250
In  0.654  0.654  0.750
In  0.667  0.333  0.000
In  0.667  0.333  0.500


[7]
VASP calculation (PBE) on crystalline Tl2In at its relaxed geometry.

Values from the calculation:
- calculated formation energy (eV/atom) = 0.01
- magnetic moment (Bohr magnetons per cell) = 0.00
- V (Å³/atom) = 29.753
- symmetry = P-3m1

Unit cell a=5.540 b=5.540 c=3.358 alpha=90.00 beta=90.00 gamma=120.00
Sites, in units of the cell vectors:
Tl  0.333  0.667  0.200
Tl  0.667  0.333  0.800
In  0.000  0.000  0.500


[8]
VASP calculation (PBE) on crystalline TlIn2 at its relaxed geometry.

Values from the calculation:
- calculated formation energy (eV/atom) = 0.11
- energy relative to the lowest polymorph listed for this composition (kJ/mol of atoms) = 11.0
- magnetic moment (Bohr magnetons per cell) = 0.00
- V (Å³/atom) = 30.026
- symmetry = I4/mcm

Unit cell a=6.181 b=6.181 c=6.181 alpha=106.41 beta=106.41 gamma=115.78
Sites, in units of the cell vectors:
Tl  0.250  0.250  0.000
Tl  0.750  0.750  0.000
In  0.146  0.646  0.793
In  0.354  0.146  0.500
In  0.646  0.854  0.500
In  0.854  0.354  0.207


[9]
VASP calculation (PBE) on crystalline Tl4In5 at its relaxed geometry.

Values from the calculation:
- calculated formation energy (eV/atom) = 0.03
- energy relative to the lowest polymorph listed for this composition (kJ/mol of atoms) = 0.5
- magnetic moment (Bohr magnetons per cell) = 0.00
- V (Å³/atom) = 29.105
- symmetry = I4/mmm

Unit cell a=8.576 b=8.576 c=8.576 alpha=92.72 beta=92.72 gamma=154.82
Sites, in units of the cell vectors:
Tl  0.000  0.328  0.328
Tl  0.000  0.672  0.672
Tl  0.328  0.000  0.328
Tl  0.672  0.000  0.672
In  0.000  0.000  0.000
In  0.334  0.334  0.668
In  0.334  0.666  0.000
In  0.666  0.334  0.000
In  0.666  0.666  0.332


[10]
VASP calculation (PBE) on crystalline TlIn2 at its relaxed geometry.

Values from the calculation:
- calculated formation energy (eV/atom) = 0.02
- energy relative to the lowest polymorph listed for this composition (kJ/mol of atoms) = 2.0
- magnetic moment (Bohr magnetons per cell) = 0.00
- V (Å³/atom) = 28.614
- symmetry = C2/m

Unit cell a=6.587 b=6.587 c=8.135 alpha=105.17 beta=105.17 gamma=30.36
Sites, in units of the cell vectors:
Tl  0.182  0.182  0.134
Tl  0.818  0.818  0.866
In  0.141  0.141  0.525
In  0.465  0.465  0.212
In  0.535  0.535  0.788
In  0.859  0.859  0.475


[11]
VASP calculation (PBE) on crystalline Tl5In3 at its relaxed geometry.

Values from the calculation:
- calculated formation energy (eV/atom) = 0.04
- energy relative to the lowest polymorph listed for this composition (kJ/mol of atoms) = 2.3
- magnetic moment (Bohr magnetons per cell) = 0.00
- V (Å³/atom) = 30.124
- symmetry = Cm

Unit cell a=8.948 b=8.948 c=9.838 alpha=94.33 beta=94.33 gamma=141.07
Sites, in units of the cell vectors:
Tl  0.000  0.000  0.000
Tl  0.032  0.681  0.250
Tl  0.070  0.275  0.722
Tl  0.275  0.070  0.722
Tl  0.283  0.488  0.394
Tl  0.488  0.283  0.394
Tl  0.526  0.877  0.865
Tl  0.558  0.558  0.116
Tl  0.681  0.032  0.250
Tl  0.877  0.526  0.865
In  0.006  0.552  0.557
In  0.111  0.447  0.058
In  0.447  0.111  0.058
In  0.552  0.006  0.557
In  0.650  0.650  0.687
In  0.908  0.908  0.429


[12]
VASP calculation (PBE) on crystalline TlIn at its relaxed geometry.

Values from the calculation:
- calculated formation energy (eV/atom) = 0.02
- magnetic moment (Bohr magnetons per cell) = 0.00
- V (Å³/atom) = 29.179
- symmetry = P-1

Unit cell a=3.413 b=6.054 c=6.610 alpha=116.89 beta=104.61 gamma=90.37
Sites, in units of the cell vectors:
Tl  0.124  0.445  0.239
Tl  0.876  0.555  0.761
In  0.370  0.032  0.738
In  0.630  0.968  0.262


[13]
VASP calculation (PBE) on crystalline TlIn at its relaxed geometry.

Values from the calculation:
- calculated formation energy (eV/atom) = 0.04
- magnetic moment (Bohr magnetons per cell) = 0.00
- V (Å³/atom) = 30.611
- symmetry = P6_3/mmc

Unit cell a=10.794 b=10.794 c=3.640 alpha=90.00 beta=90.00 gamma=120.00
Sites, in units of the cell vectors:
Tl  0.156  0.312  0.250
Tl  0.156  0.844  0.250
Tl  0.312  0.156  0.750
Tl  0.688  0.844  0.250
Tl  0.844  0.156  0.750
Tl  0.844  0.688  0.750
In  0.137  0.568  0.750
In  0.432  0.568  0.750
In  0.432  0.863  0.750
In  0.568  0.137  0.250
In  0.568  0.432  0.250
In  0.863  0.432  0.250


[14]
VASP calculation (PBE) on crystalline TlIn at its relaxed geometry.

Values from the calculation:
- calculated formation energy (eV/atom) = 0.34
- magnetic moment (Bohr magnetons per cell) = 0.00
- V (Å³/atom) = 53.023
- symmetry = I-43m

Unit cell a=8.198 b=8.198 c=8.198 alpha=109.47 beta=109.47 gamma=109.47
Sites, in units of the cell vectors:
Tl  0.000  0.000  0.387
Tl  0.000  0.387  0.000
Tl  0.387  0.000  0.000
Tl  0.613  0.613  0.613
In  0.000  0.000  0.755
In  0.000  0.755  0.000
In  0.245  0.245  0.245
In  0.755  0.000  0.000


[15]
VASP calculation (PBE) on crystalline TlIn4 at its relaxed geometry.

Values from the calculation:
- calculated formation energy (eV/atom) = 0.03
- energy relative to the lowest polymorph listed for this composition (kJ/mol of atoms) = 0.7
- magnetic moment (Bohr magnetons per cell) = 0.00
- V (Å³/atom) = 27.944
- symmetry = I4/m

Unit cell a=6.006 b=6.006 c=6.006 alpha=98.10 beta=98.10 gamma=135.92
Sites, in units of the cell vectors:
Tl  0.000  0.000  0.000
In  0.196  0.399  0.595
In  0.399  0.804  0.203
In  0.601  0.196  0.797
In  0.804  0.601  0.405


[16]
VASP calculation (PBE) on crystalline TlIn at its relaxed geometry.

Values from the calculation:
- calculated formation energy (eV/atom) = 0.04
- magnetic moment (Bohr magnetons per cell) = 0.00
- V (Å³/atom) = 30.614
- symmetry = I4/mmm

Unit cell a=8.000 b=8.000 c=8.000 alpha=93.76 beta=93.76 gamma=150.34
Sites, in units of the cell vectors:
Tl  0.156  0.156  0.312
Tl  0.156  0.844  0.000
Tl  0.844  0.156  0.000
Tl  0.844  0.844  0.688
In  0.160  0.500  0.660
In  0.500  0.160  0.660
In  0.500  0.840  0.340
In  0.840  0.500  0.340


[17]
VASP calculation (PBE) on crystalline TlIn at its relaxed geometry.

Values from the calculation:
- calculated formation energy (eV/atom) = 0.01
- magnetic moment (Bohr magnetons per cell) = 0.00
- V (Å³/atom) = 29.146
- symmetry = C2/m

Unit cell a=3.452 b=3.452 c=11.291 alpha=90.03 beta=90.03 gamma=60.04
Sites, in units of the cell vectors:
Tl  0.169  0.169  0.368
Tl  0.831  0.831  0.632
In  0.166  0.166  0.882
In  0.834  0.834  0.118


[18]
VASP calculation (PBE) on crystalline Tl13In3 at its relaxed geometry.

Values from the calculation:
- calculated formation energy (eV/atom) = 0.02
- magnetic moment (Bohr magnetons per cell) = 0.00
- V (Å³/atom) = 30.527
- symmetry = Amm2

Unit cell a=8.798 b=7.451 c=7.451 alpha=89.90 beta=90.00 gamma=90.00
Sites, in units of the cell vectors:
Tl  0.000  0.000  0.000
Tl  0.000  0.518  0.998
Tl  0.000  0.521  0.521
Tl  0.000  0.998  0.518
Tl  0.252  0.257  0.759
Tl  0.252  0.759  0.257
Tl  0.282  0.766  0.766
Tl  0.500  0.030  0.485
Tl  0.500  0.485  0.030
Tl  0.500  0.497  0.497
Tl  0.718  0.766  0.766
Tl  0.748  0.257  0.759
Tl  0.748  0.759  0.257
In  0.223  0.259  0.259
In  0.500  0.032  0.032
In  0.777  0.259  0.259


[19]
VASP calculation (PBE) on crystalline Tl4In3 at its relaxed geometry.

Values from the calculation:
- calculated formation energy (eV/atom) = 0.02
- magnetic moment (Bohr magnetons per cell) = 0.00
- V (Å³/atom) = 29.450
- symmetry = C2/m

Unit cell a=5.527 b=5.527 c=8.416 alpha=108.64 beta=108.64 gamma=59.60
Sites, in units of the cell vectors:
Tl  0.070  0.070  0.210
Tl  0.213  0.213  0.640
Tl  0.787  0.787  0.360
Tl  0.930  0.930  0.790
In  0.357  0.357  0.068
In  0.500  0.500  0.500
In  0.643  0.643  0.932


[20]
VASP calculation (PBE) on crystalline TlIn2 at its relaxed geometry.

Values from the calculation:
- calculated formation energy (eV/atom) = 0.00
- energy relative to the lowest polymorph listed for this composition (kJ/mol of atoms) = 0.0
- magnetic moment (Bohr magnetons per cell) = 0.00
- V (Å³/atom) = 28.162
- symmetry = P-3m1

Unit cell a=3.429 b=3.429 c=8.295 alpha=90.00 beta=90.00 gamma=120.00
Sites, in units of the cell vectors:
Tl  0.000  0.000  0.000
In  0.333  0.667  0.338
In  0.667  0.333  0.662